Entry 1:
RbFePd after structural relaxation, computed with PBE.

Results
ρ = 5183 kg/m³
magnetic moment = 3.338 Bohr magnetons per cell
energy relative to the lowest polymorph listed for this composition = 28.4 meV/atom
N(E_F) = 4.22 states/eV/cell
electronic total energy = -4.36 eV/atom
symmetry = P1
formation energy from the elements = 0.517 eV/atom

a = 3.578 Å, b = 3.582 Å, c = 6.683 Å
α = 105.30°, β = 105.52°, γ = 90.01°
Element x y z (fractional)
Rb  0.000  0.000  0.000
Fe  0.257  0.748  0.500
Pd  0.757  0.249  0.500

=====

Entry 2:
RbFe3Pd after structural relaxation, computed with PBE.

Results
ρ = 6288 kg/m³
magnetic moment = 7.699 Bohr magnetons per cell
energy relative to the lowest polymorph listed for this composition = 1402.7 meV/atom
N(E_F) = 6.65 states/eV/cell
electronic total energy = -3.79 eV/atom
symmetry = Pm-3m
formation energy from the elements = 2.520 eV/atom

a = 4.562 Å, b = 4.562 Å, c = 4.562 Å
α = 90.00°, β = 90.00°, γ = 90.00°
Element x y z (fractional)
Rb  0.000  0.000  0.000
Fe  0.000  0.000  0.500
Fe  0.000  0.500  0.000
Fe  0.500  0.000  0.000
Pd  0.500  0.500  0.500

=====

Entry 3:
RbFe3Pd after structural relaxation, computed with PBE.

Results
ρ = 5095 kg/m³
magnetic moment = 10.119 Bohr magnetons per cell
energy relative to the lowest polymorph listed for this composition = 0.0 meV/atom
N(E_F) = 6.68 states/eV/cell
electronic total energy = -5.19 eV/atom
symmetry = Pm-3m
formation energy from the elements = 1.117 eV/atom

a = 4.893 Å, b = 4.893 Å, c = 4.893 Å
α = 90.00°, β = 90.00°, γ = 90.00°
Element x y z (fractional)
Rb  0.000  0.000  0.000
Fe  0.000  0.500  0.500
Fe  0.500  0.000  0.500
Fe  0.500  0.500  0.000
Pd  0.500  0.500  0.500

=====

Entry 4:
RbFePd after structural relaxation, computed with PBE.

Results
ρ = 5458 kg/m³
magnetic moment = 3.245 Bohr magnetons per cell
energy relative to the lowest polymorph listed for this composition = 0.0 meV/atom
N(E_F) = 4.58 states/eV/cell
electronic total energy = -4.39 eV/atom
symmetry = Cm
formation energy from the elements = 0.488 eV/atom

a = 6.672 Å, b = 6.672 Å, c = 3.068 Å
α = 103.28°, β = 103.28°, γ = 34.64°
Element x y z (fractional)
Rb  0.000  0.000  0.000
Fe  0.267  0.267  0.262
Pd  0.728  0.728  0.722

=====

Entry 5:
RbFePd2 after structural relaxation, computed with PBE.

Results
ρ = 4939 kg/m³
magnetic moment = 7.849 Bohr magnetons per cell
energy relative to the lowest polymorph listed for this composition = 0.0 meV/atom
N(E_F) = 7.44 states/eV/cell
electronic total energy = -4.41 eV/atom
symmetry = I4_1/amd
formation energy from the elements = 0.545 eV/atom

a = 9.001 Å, b = 9.001 Å, c = 9.001 Å
α = 145.05°, β = 145.05°, γ = 50.26°
Element x y z (fractional)
Rb  0.375  0.625  0.750
Rb  0.625  0.375  0.250
Fe  0.125  0.875  0.250
Fe  0.875  0.125  0.750
Pd  0.000  0.000  0.000
Pd  0.000  0.000  0.500
Pd  0.000  0.500  0.000
Pd  0.500  0.000  0.500

=====

Entry 6:
RbFe2Pd after structural relaxation, computed with PBE.

Results
ρ = 6746 kg/m³
magnetic moment = 6.081 Bohr magnetons per cell
energy relative to the lowest polymorph listed for this composition = 336.9 meV/atom
N(E_F) = 4.00 states/eV/cell
electronic total energy = -4.55 eV/atom
symmetry = Fm-3m
formation energy from the elements = 1.225 eV/atom

a = 4.728 Å, b = 4.728 Å, c = 4.728 Å
α = 60.00°, β = 60.00°, γ = 60.00°
Element x y z (fractional)
Rb  0.000  0.000  0.000
Fe  0.250  0.250  0.250
Fe  0.750  0.750  0.750
Pd  0.500  0.500  0.500